1.
Density functional theory data (PBE) for a relaxed NbV14Re crystal.

Unit cell a=5.240 b=5.240 c=8.551 alpha=90.00 beta=90.00 gamma=108.90
Fractional positions:
Nb  0.000  0.000  0.000
V  0.000  0.000  0.500
V  0.000  0.500  0.000
V  0.000  0.500  0.500
V  0.250  0.750  0.259
V  0.250  0.750  0.741
V  0.254  0.254  0.256
V  0.254  0.254  0.744
V  0.500  0.000  0.000
V  0.500  0.000  0.500
V  0.500  0.500  0.500
V  0.746  0.746  0.256
V  0.746  0.746  0.744
V  0.750  0.250  0.259
V  0.750  0.250  0.741
Re  0.500  0.500  0.000

Its total energy is -9.436 eV/atom. The calculation puts the energy of formation from the pure elements at -50 meV/atom. The density of states at the Fermi level is 1.683 states/eV/atom.

***

2.
Density functional theory data (PBE) for a relaxed ZrAg2SbRh crystal.

Unit cell a=4.949 b=4.949 c=5.465 alpha=90.00 beta=90.00 gamma=90.00
Fractional positions:
Zr  0.000  0.000  0.000
Ag  0.000  0.500  0.500
Ag  0.500  0.000  0.500
Sb  0.000  0.000  0.500
Rh  0.500  0.500  0.000

Its uncorrected formation energy is 979 meV/atom. Its total energy is -4.166 eV/atom. The density of states at the Fermi level is 0.806 states/eV/atom.

***

3.
Density functional theory data (PBE) for a relaxed P2IrRu crystal.

Unit cell a=3.006 b=3.720 c=5.083 alpha=90.00 beta=90.00 gamma=90.00
Fractional positions:
P  0.000  0.000  0.214
P  0.000  0.000  0.786
Ir  0.000  0.500  0.500
Ru  0.500  0.500  0.000

Its total energy is -7.166 eV/atom. The calculation puts the energy of formation from the pure elements at 73 meV/atom. The density of states at the Fermi level is 0.788 states/eV/atom.

***

4.
Density functional theory data (PBE) for a relaxed EuPuCuPd crystal.

Unit cell a=5.054 b=5.054 c=5.054 alpha=60.00 beta=60.00 gamma=60.00
Fractional positions:
Eu  0.000  0.000  0.000
Pu  0.500  0.500  0.500
Cu  0.250  0.250  0.250
Pd  0.750  0.750  0.750

Its total energy is -8.679 eV/atom. The calculation puts the energy of formation from the pure elements at -205 meV/atom. The density of states at the Fermi level is 3.932 states/eV/atom.

***

5.
Density functional theory data (PBE) for a relaxed La2PmEr7 crystal.

Unit cell a=14.826 b=14.826 c=3.515 alpha=90.00 beta=90.00 gamma=154.55
Fractional positions:
La  0.207  0.793  0.000
La  0.793  0.207  0.000
Pm  0.500  0.500  0.500
Er  0.000  0.000  0.000
Er  0.156  0.352  0.000
Er  0.316  0.684  0.500
Er  0.352  0.156  0.000
Er  0.648  0.844  0.000
Er  0.684  0.316  0.500
Er  0.844  0.648  0.000

Its total energy is -4.489 eV/atom. The calculation puts the energy of formation from the pure elements at 166 meV/atom. The density of states at the Fermi level is 1.810 states/eV/atom.

***

6.
Density functional theory data (PBE) for a relaxed KTl2Br crystal.

Unit cell a=5.887 b=5.887 c=5.887 alpha=60.00 beta=60.00 gamma=60.00
Fractional positions:
K  0.000  0.000  0.000
Tl  0.250  0.250  0.250
Tl  0.750  0.750  0.750
Br  0.500  0.500  0.500

Its uncorrected formation energy is -218 meV/atom. Its total energy is -2.094 eV/atom. The density of states at the Fermi level is 1.346 states/eV/atom.